Dy6Tl6Hg | GGA-PBE | optimized geometry

Cell lengths 6.4747, 6.4747, 10.4178 Å; angles 90.00, 90.00, 120.00 degrees
Last column: nearest neighbours and their distance in Å.
Space group P6/mmm (No. 191)
Unique sites:
Dy 0.0000 0.0000 0.1880 x2  1 Hg 3.25, 6 Tl 3.30
Dy 0.3333 0.6667 0.0000 x2  6 Tl 3.21
Dy 0.3333 0.6667 0.5000 x2  6 Tl 3.20
Tl 0.0000 0.5000 0.2502 x6  6 Dy 3.20-3.30, 4 Tl 3.24
Hg 0.0000 0.0000 0.5000 x1  2 Dy 3.25

Output
ΔH_f (0 K) = -2.466 eV per formula unit



CaMgBiI | GGA-PBE | optimized geometry

Cell lengths 4.7360, 4.7360, 45.8928 Å; angles 90.00, 90.00, 120.00 degrees
Last column: nearest neighbours and their distance in Å.
Space group R-3m (No. 166, hexagonal axes)
Unique sites:
Ca 0.0000 0.0000 0.0856 x6  3 I 3.20, 3 Bi 3.33
Mg 0.0000 0.0000 0.3119 x6  4 Bi 2.93-3.01
Bi 0.0000 0.0000 0.3775 x6  4 Mg 2.93-3.01
I 0.0000 0.0000 0.2116 x6  3 Ca 3.20

Output
ΔE_f (raw) = -0.934 eV/atom



KCaPb2Au | GGA-PBE | optimized geometry

Cell lengths 5.8838, 5.8838, 6.3043 Å; angles 90.00, 90.00, 90.00 degrees
Last column: nearest neighbours and their distance in Å.
Space group P4/mmm (No. 123)
Unique sites:
K 0.0000 0.0000 0.0000 x1  2 Ca 3.15
Ca 0.0000 0.0000 0.5000 x1  4 Pb 2.94, 2 K 3.15
Pb 0.0000 0.5000 0.5000 x2  2 Ca 2.94
Au 0.5000 0.5000 0.0000 x1  4 K 4.16, 8 Pb 4.31

Output
ΔH_f (0 K) = 3.196 eV per formula unit



Ti2VC | GGA-PBE | optimized geometry

Cell lengths 3.0842, 3.9773, 8.9514 Å; angles 90.00, 90.00, 90.00 degrees
Last column: nearest neighbours and their distance in Å.
Space group Immm (No. 71)
Unique sites:
Ti 0.0000 0.0000 0.1597 x4  2 C 2.10
V 0.0000 0.0000 0.5000 x2  2 C 1.99
C 0.0000 0.5000 0.5000 x2  2 V 1.99, 4 Ti 2.10

Output
ΔH_f (0 K) = -1.432 eV per formula unit



Number 1: M_tot 0.000 μB per formula unit. Number 2: M_tot 0.000 μB per formula unit. Number 3: M_tot 0.395 μB per formula unit. Number 4: M_tot 0.000 μB per formula unit.